An optimized crystal structure of Pr5Dy2Y. Source: Alexandria, functional PBE.

Summary:
Formation enthalpy at 0 K (eV per atom): 0.113
Energy above the most stable polymorph in this dataset (kJ/mol of formula units): 0
E_tot (eV/atom): -4.83

abc: 9.3142 9.3142 9.2055
angles: 120.39 120.39 90.00
Closest atoms and distances in Å follow each position.
Fractional coordinates of all 16 atoms:
Pr 0.4859 0.6866 0.6726  3 Dy 3.42-3.47, 3 Pr 3.45-3.56, 2 Y 3.72
Pr 0.8134 0.0141 0.3274  3 Dy 3.42-3.47, 3 Pr 3.45-3.56, 2 Y 3.72
Pr 0.0000 0.0000 0.0000  2 Y 3.22, 4 Dy 3.57
Pr 0.5000 0.5000 0.0000  2 Y 3.22, 4 Dy 3.57
Pr 0.1866 0.9859 0.6726  3 Dy 3.42-3.47, 3 Pr 3.45-3.56, 2 Y 3.72
Pr 0.6866 0.1866 0.6726  3 Dy 3.42-3.47, 3 Pr 3.45-3.56, 2 Y 3.72
Pr 0.9859 0.4859 0.6726  3 Dy 3.42-3.47, 3 Pr 3.45-3.56, 2 Y 3.72
Pr 0.3134 0.8134 0.3274  3 Dy 3.42-3.47, 3 Pr 3.45-3.56, 2 Y 3.72
Pr 0.0141 0.5141 0.3274  3 Dy 3.42-3.47, 3 Pr 3.45-3.56, 2 Y 3.72
Pr 0.5141 0.3134 0.3274  3 Dy 3.42-3.47, 3 Pr 3.45-3.56, 2 Y 3.72
Dy 0.1459 0.3541 0.0000  8 Pr 3.42-3.57
Dy 0.6459 0.1459 0.0000  8 Pr 3.42-3.57
Dy 0.3541 0.8541 0.0000  8 Pr 3.42-3.57
Dy 0.8541 0.6459 0.0000  8 Pr 3.42-3.57
Y 0.7500 0.7500 0.5000  2 Pr 3.22
Y 0.2500 0.2500 0.5000  2 Pr 3.22



An optimized crystal structure of PrDy5Y2. Source: Alexandria, functional PBE.

Summary:
Formation enthalpy at 0 K (eV per atom): 0.019
Energy above the most stable polymorph in this dataset (kJ/mol of formula units): 6
E_tot (eV/atom): -5.07

abc: 5.0389 7.1497 14.3056
angles: 90.00 90.00 90.00
Closest atoms and distances in Å follow each position.
Fractional coordinates of all 16 atoms:
Pr 0.0000 0.0000 0.5000  8 Dy 3.57-3.59, 4 Y 3.58
Pr 0.0000 0.5000 0.0000  8 Dy 3.57-3.59, 4 Y 3.58
Dy 0.0000 0.0000 0.0000  6 Dy 3.56-3.57, 4 Y 3.57, 2 Pr 3.57
Dy 0.0000 0.5000 0.5000  6 Dy 3.56-3.57, 4 Y 3.57, 2 Pr 3.57
Dy 0.0000 0.4997 0.7487  7 Dy 3.55-3.58, 4 Y 3.55-3.57, 1 Pr 3.59
Dy 0.0000 0.5003 0.2513  7 Dy 3.55-3.58, 4 Y 3.55-3.57, 1 Pr 3.59
Dy 0.0000 0.0003 0.2487  7 Dy 3.55-3.58, 4 Y 3.55-3.57, 1 Pr 3.59
Dy 0.0000 0.9997 0.7513  7 Dy 3.55-3.58, 4 Y 3.55-3.57, 1 Pr 3.59
Dy 0.5000 0.2487 0.8739  4 Y 3.55-3.60, 6 Dy 3.55-3.57, 2 Pr 3.58
Dy 0.5000 0.7513 0.1261  4 Y 3.55-3.60, 6 Dy 3.55-3.57, 2 Pr 3.58
Dy 0.5000 0.2513 0.3739  4 Y 3.55-3.60, 6 Dy 3.55-3.57, 2 Pr 3.58
Dy 0.5000 0.7487 0.6261  4 Y 3.55-3.60, 6 Dy 3.55-3.57, 2 Pr 3.58
Y 0.5000 0.2505 0.6259  10 Dy 3.55-3.60, 2 Pr 3.58
Y 0.5000 0.7495 0.3741  10 Dy 3.55-3.60, 2 Pr 3.58
Y 0.5000 0.2495 0.1259  10 Dy 3.55-3.60, 2 Pr 3.58
Y 0.5000 0.7505 0.8741  10 Dy 3.55-3.60, 2 Pr 3.58



An optimized crystal structure of PrDy6Y. Source: Alexandria, functional PBE.

Summary:
Formation enthalpy at 0 K (eV per atom): 0.024
Energy above the most stable polymorph in this dataset (kJ/mol of formula units): 0
E_tot (eV/atom): -4.83

abc: 5.0515 5.0515 10.0806
angles: 90.00 90.00 90.00
Closest atoms and distances in Å follow each position.
Fractional coordinates of all 8 atoms:
Pr 0.0000 0.0000 0.0000  12 Dy 3.57-3.58
Dy 0.5000 0.5000 0.0000  4 Pr 3.57, 8 Dy 3.58
Dy 0.5000 0.5000 0.5000  8 Dy 3.55, 4 Y 3.57
Dy 0.5000 0.0000 0.2519  2 Y 3.55, 8 Dy 3.55-3.58, 2 Pr 3.58
Dy 0.5000 0.0000 0.7481  8 Dy 3.55-3.58, 2 Y 3.55, 2 Pr 3.58
Dy 0.0000 0.5000 0.2519  2 Y 3.55, 8 Dy 3.55-3.58, 2 Pr 3.58
Dy 0.0000 0.5000 0.7481  8 Dy 3.55-3.58, 2 Y 3.55, 2 Pr 3.58
Y 0.0000 0.0000 0.5000  12 Dy 3.55-3.57



An optimized crystal structure of Pr7DyY3. Source: Alexandria, functional PBE.

Summary:
Formation enthalpy at 0 K (eV per atom): 0.234
Energy above the most stable polymorph in this dataset (kJ/mol of formula units): 60
E_tot (eV/atom): -4.99

abc: 6.5303 7.8531 7.8531
angles: 82.17 85.88 85.88
Closest atoms and distances in Å follow each position.
Fractional coordinates of all 11 atoms:
Pr 0.7844 0.2393 0.2393  5 Pr 3.38-3.60, 1 Dy 3.45, 3 Y 3.50-3.53
Pr 0.7394 0.9224 0.5753  6 Pr 3.38-3.75, 3 Y 3.56-3.69
Pr 0.2606 0.4247 0.0776  6 Pr 3.38-3.75, 3 Y 3.56-3.69
Pr 0.7394 0.5753 0.9224  6 Pr 3.38-3.75, 3 Y 3.56-3.69
Pr 0.0000 0.5000 0.5000  2 Dy 3.27, 2 Y 3.43, 2 Pr 3.51
Pr 0.2606 0.0776 0.4247  6 Pr 3.38-3.75, 3 Y 3.56-3.69
Pr 0.2156 0.7607 0.7607  5 Pr 3.38-3.60, 1 Dy 3.45, 3 Y 3.50-3.53
Dy 0.5000 0.5000 0.5000  4 Pr 3.27-3.45
Y 0.0000 0.8318 0.1682  7 Pr 3.43-3.65, 3 Y 3.47-3.70
Y 0.5000 0.0000 0.0000  6 Pr 3.53-3.69, 4 Y 3.70
Y 0.0000 0.1682 0.8318  7 Pr 3.43-3.65, 3 Y 3.47-3.70



An optimized crystal structure of Pr5DyY. Source: Alexandria, functional PBE.

Summary:
Formation enthalpy at 0 K (eV per atom): 0.964
Energy above the most stable polymorph in this dataset (kJ/mol of formula units): 552
E_tot (eV/atom): -4.03

abc: 5.9789 8.1412 8.1412
angles: 66.29 68.53 68.53
Closest atoms and distances in Å follow each position.
Fractional coordinates of all 7 atoms:
Pr 0.7520 0.2481 0.2481  1 Dy 3.04, 1 Y 3.09
Pr 0.0000 0.3233 0.6767  1 Dy 2.88, 1 Pr 3.15
Pr 0.5000 0.0000 0.0000  2 Dy 2.99
Pr 0.0000 0.6767 0.3233  1 Dy 2.88, 1 Pr 3.15
Pr 0.2480 0.7519 0.7519  1 Dy 3.04, 1 Y 3.09
Dy 0.0000 0.0000 0.0000  6 Pr 2.88-3.04
Y 0.5000 0.5000 0.5000  6 Pr 3.09-3.38



An optimized crystal structure of PrDyY. Source: Alexandria, functional PBE.

Summary:
Formation enthalpy at 0 K (eV per atom): 0.108
Energy above the most stable polymorph in this dataset (kJ/mol of formula units): 26
E_tot (eV/atom): -5.17

abc: 5.9487 6.3927 6.9224
angles: 63.50 64.55 62.27
Closest atoms and distances in Å follow each position.
Fractional coordinates of all 6 atoms:
Pr 0.1748 0.4161 0.2343  5 Y 3.49-3.72, 4 Dy 3.49-3.69, 1 Pr 3.73
Pr 0.8252 0.5839 0.7657  5 Y 3.49-3.72, 4 Dy 3.49-3.69, 1 Pr 3.73
Dy 0.4936 0.7563 0.2565  3 Y 3.45-3.49, 4 Pr 3.49-3.69, 2 Dy 3.50-3.53
Dy 0.5064 0.2437 0.7435  3 Y 3.45-3.49, 4 Pr 3.49-3.69, 2 Dy 3.50-3.53
Y 0.1607 0.9355 0.7430  3 Dy 3.45-3.49, 5 Pr 3.49-3.72, 1 Y 3.51
Y 0.8393 0.0645 0.2570  3 Dy 3.45-3.49, 5 Pr 3.49-3.72, 1 Y 3.51



What did the sixth record say?
An optimized crystal structure of PrDyY. Source: Alexandria, functional PBE.

Summary:
Formation enthalpy at 0 K (eV per atom): 0.108
Energy above the most stable polymorph in this dataset (kJ/mol of formula units): 26
E_tot (eV/atom): -5.17

abc: 5.9487 6.3927 6.9224
angles: 63.50 64.55 62.27
Closest atoms and distances in Å follow each position.
Fractional coordinates of all 6 atoms:
Pr 0.1748 0.4161 0.2343  5 Y 3.49-3.72, 4 Dy 3.49-3.69, 1 Pr 3.73
Pr 0.8252 0.5839 0.7657  5 Y 3.49-3.72, 4 Dy 3.49-3.69, 1 Pr 3.73
Dy 0.4936 0.7563 0.2565  3 Y 3.45-3.49, 4 Pr 3.49-3.69, 2 Dy 3.50-3.53
Dy 0.5064 0.2437 0.7435  3 Y 3.45-3.49, 4 Pr 3.49-3.69, 2 Dy 3.50-3.53
Y 0.1607 0.9355 0.7430  3 Dy 3.45-3.49, 5 Pr 3.49-3.72, 1 Y 3.51
Y 0.8393 0.0645 0.2570  3 Dy 3.45-3.49, 5 Pr 3.49-3.72, 1 Y 3.51